{
  "formula": "Pr5GeCl5",
  "functional": "PBE",
  "state": "relaxed",
  "cell": [[6.486, -2.918, 0.000], [6.486, 2.918, 0.000], [-2.537, 0.000, 7.903]],
  "species": ["Pr", "Pr", "Pr", "Pr", "Pr", "Ge", "Cl", "Cl", "Cl", "Cl", "Cl"],
  "frac_coords": [[0.000, 0.000, 0.000], [0.325, 0.325, 0.146], [0.339, 0.339, 0.683], [0.661, 0.661, 0.317], [0.675, 0.675, 0.854], [0.500, 0.500, 0.000], [0.152, 0.152, 0.801], [0.154, 0.154, 0.350], [0.500, 0.500, 0.500], [0.846, 0.846, 0.650], [0.848, 0.848, 0.199]],
  "formation_energy_uncorrected_ev_per_atom": -1.519,
  "sg": "C2/m"
}